[1]
DFT (GGA-PBE) results for a relaxed structure of CuAgPdO2.

abc: 3.9419 3.9419 5.1478
angles: 90.00 90.00 90.00
Last column: nearest neighbours and their distance in Å.
Space group P4/mmm (No. 123)
Asymmetric unit:
Cu (0.0000, 0.0000, 0.0000) x1  4 Pd 2.79
Ag (0.5000, 0.5000, 0.5000) x1  4 O 1.97
Pd (0.5000, 0.5000, 0.0000) x1  2 Ag 2.57, 4 Cu 2.79
O (0.0000, 0.5000, 0.5000) x2  2 Ag 1.97

Output
size of the total moment = 0.42 μB/f.u.
E_tot = -3.59 eV/atom


[2]
DFT (GGA-PBE) results for a relaxed structure of ScZnBr2.

abc: 7.2976 7.2976 7.2976
angles: 90.00 90.00 90.00
Last column: nearest neighbours and their distance in Å.
Space group F-43m (No. 216)
Asymmetric unit:
Sc (0.0000, 0.0000, 0.0000) x4  4 Br 3.16, 4 Zn 3.16
Zn (0.2500, 0.2500, 0.2500) x4  4 Br 3.16, 4 Sc 3.16
Br (0.0000, 0.0000, 0.5000) x4  4 Br 3.16, 4 Zn 3.16
Br (0.2500, 0.2500, 0.7500) x4  4 Br 3.16, 4 Sc 3.16

Output
size of the total moment = 0.95 μB/f.u.
E_tot = -2.93 eV/atom


[3]
DFT (GGA-PBE) results for a relaxed structure of Pa2Al4Pt3Au.

abc: 4.2332 4.2332 10.4368
angles: 90.00 90.00 90.00
Last column: nearest neighbours and their distance in Å.
Space group P-4m2 (No. 115)
Asymmetric unit:
Pa (0.0000, 0.5000, 0.2464) x2  6 Pt 3.21-3.39, 8 Al 3.25-3.33, 2 Au 3.39
Al (0.0000, 0.0000, 0.0000) x1  4 Pt 2.54
Al (0.0000, 0.5000, 0.6328) x2  3 Pt 2.42-2.53, 2 Au 2.53
Al (0.5000, 0.5000, 0.0000) x1  4 Pt 2.54
Pt (0.0000, 0.5000, 0.8651) x2  5 Al 2.42-2.54
Pt (0.5000, 0.5000, 0.5000) x1  4 Al 2.53
Au (0.0000, 0.0000, 0.5000) x1  4 Al 2.53

Output
size of the total moment = 0.00 μB/f.u.
formation energy from the elements = -842 meV per atom


[4]
DFT (GGA-PBE) results for a relaxed structure of BaLiPb4.

abc: 5.1775 22.8695 6.7563
angles: 90.00 90.00 90.00
Last column: nearest neighbours and their distance in Å.
Space group Cmcm (No. 63)
Asymmetric unit:
Ba (0.0000, 0.1247, 0.2500) x4  9 Pb 3.70-4.08
Li (0.0000, 0.3915, 0.2500) x4  6 Pb 2.89-3.00
Pb (0.0000, 0.0470, 0.7500) x4  2 Li 2.95, 4 Pb 3.27
Pb (0.0000, 0.2877, 0.0065) x8  1 Li 2.89, 2 Pb 3.11
Pb (0.0000, 0.5000, 0.0000) x4  2 Li 3.00, 4 Pb 3.27

Output
size of the total moment = 0.00 μB/f.u.
formation energy from the elements = -231 meV per atom


[5]
DFT (GGA-PBE) results for a relaxed structure of BeNb2TlHg.

abc: 5.2561 5.2561 5.2042
angles: 90.00 90.00 90.00
Last column: nearest neighbours and their distance in Å.
Space group P4/mmm (No. 123)
Asymmetric unit:
Be (0.0000, 0.0000, 0.0000) x1  8 Nb 3.70, 4 Hg 3.72
Nb (0.0000, 0.5000, 0.5000) x2  2 Tl 2.63
Tl (0.5000, 0.5000, 0.5000) x1  2 Hg 2.60, 4 Nb 2.63
Hg (0.5000, 0.5000, 0.0000) x1  2 Tl 2.60

Output
size of the total moment = 2.46 μB/f.u.
formation energy from the elements = 2235 meV per atom


[6]
DFT (GGA-PBE) results for a relaxed structure of K2AlAs.

abc: 3.4881 3.4881 33.9844
angles: 90.00 90.00 120.00
Last column: nearest neighbours and their distance in Å.
Space group R-3m (No. 166, hexagonal axes)
Asymmetric unit:
K (0.0000, 0.0000, 0.2436) x6  3 As 3.30, 6 K 3.49, 3 Al 3.65
Al (0.0000, 0.0000, 0.0000) x3  6 Al 3.49, 6 K 3.65
As (0.0000, 0.0000, 0.5000) x3  6 K 3.30, 6 As 3.49

Output
size of the total moment = 0.27 μB/f.u.
formation energy from the elements = 316 meV per atom


[7]
DFT (GGA-PBE) results for a relaxed structure of Tb6Ho4Sc.

abc: 5.6489 9.5297 25.4431
angles: 90.00 90.00 90.00
Last column: nearest neighbours and their distance in Å.
Space group Cmcm (No. 63)
Asymmetric unit:
Tb (0.0000, 0.0000, 0.0000) x4  8 Ho 3.12-3.47
Tb (0.0000, 0.0269, 0.2500) x4  3 Sc 3.19-3.23, 2 Ho 3.26
Tb (0.0000, 0.3069, 0.6065) x8  5 Ho 3.24-3.55
Tb (0.0000, 0.3613, 0.1829) x8  7 Tb 3.41-3.78, 4 Ho 3.50-3.61, 3 Sc 3.58-3.67
Ho (0.0000, 0.0320, 0.1219) x8  5 Tb 3.12-3.26
Ho (0.0000, 0.3448, 0.0437) x8  7 Tb 3.38-3.68, 2 Ho 3.58-3.70
Sc (0.0000, 0.3082, 0.7500) x4  3 Tb 3.19-3.23

Output
size of the total moment = 0.00 μB/f.u.
formation energy from the elements = 136 meV per atom


[8]
DFT (GGA-PBE) results for a relaxed structure of ErBiO3.

abc: 5.9803 5.9803 15.1196
angles: 90.00 90.00 120.00
Last column: nearest neighbours and their distance in Å.
Space group R-3 (No. 148, hexagonal axes)
Asymmetric unit:
Er (0.0000, 0.0000, 0.1421) x6  6 O 2.23-2.34
Bi (0.0000, 0.0000, 0.3572) x6  6 O 2.32-2.49
O (0.0349, 0.7402, 0.7497) x18  2 Er 2.23-2.34, 2 Bi 2.32-2.49

Output
size of the total moment = 0.00 μB/f.u.
E_tot = -7.05 eV/atom